A plane-wave DFT calculation with PBE was carried out for an optimized crystal structure of Al2Pt2O5.

Values from the calculation:
Its energy above the most stable polymorph in this dataset is 7.62 eV/f.u. As for the space-group type: No. 123. The calculation puts the uncorrected energy at -47.3 eV/cell.

The structure in POSCAR format:
```
Al2Pt2O5
1.0
3.852 0.000 0.000
0.000 3.852 0.000
0.000 0.000 6.876
Al Pt O
2 2 5
direct
0.000 0.000 0.000 Al
0.000 0.000 0.500 Al
0.500 0.500 0.201 Pt
0.500 0.500 0.799 Pt
0.000 0.500 0.284 O
0.000 0.500 0.716 O
0.500 0.000 0.284 O
0.500 0.000 0.716 O
0.500 0.500 0.500 O
```